[1]
DFT (PBE) results for crystalline Nd5SnPt2 at its relaxed geometry.

a b c (Å): 8.098 8.098 8.983
angles (deg): 116.79 116.79 90.00
Sites, in units of the cell vectors:
Nd (0.521, 0.701, 0.722)
Nd (0.799, 0.979, 0.278)
Nd (0.000, 0.000, 0.000)
Nd (0.500, 0.500, 0.000)
Nd (0.201, 0.021, 0.722)
Nd (0.701, 0.201, 0.722)
Nd (0.021, 0.521, 0.722)
Nd (0.299, 0.799, 0.278)
Nd (0.979, 0.479, 0.278)
Nd (0.479, 0.299, 0.278)
Sn (0.750, 0.750, 0.500)
Sn (0.250, 0.250, 0.500)
Pt (0.135, 0.365, 0.000)
Pt (0.635, 0.135, 0.000)
Pt (0.365, 0.865, 0.000)
Pt (0.865, 0.635, 0.000)

The crystal system is tetragonal. The space group is I4/mcm (140). The calculation puts the formation energy at -0.824 eV/atom.

[2]
DFT (PBE) results for crystalline TaSbIr2 at its relaxed geometry.

a b c (Å): 3.016 4.229 5.462
angles (deg): 90.00 90.00 90.00
Sites, in units of the cell vectors:
Ir (0.000, 0.000, 0.964)
Ir (0.500, 0.500, 0.289)
Sb (0.000, 0.000, 0.459)
Ta (0.500, 0.500, 0.788)

The calculation puts the uncorrected formation energy at -0.018 eV/atom. The crystal system is orthorhombic. The space group is Pmm2 (25).

[3]
DFT (PBE) results for crystalline Tc2SbBr at its relaxed geometry.

a b c (Å): 3.738 3.328 6.685
angles (deg): 90.00 90.00 90.00
Sites, in units of the cell vectors:
Sb (0.500, 0.750, 0.750)
Tc (0.000, 0.250, 0.926)
Tc (0.000, 0.250, 0.574)
Br (0.500, 0.250, 0.250)

The calculation puts the uncorrected formation energy at 0.460 eV/atom. The crystal system is orthorhombic. The space group is Pmmm (47).

[4]
DFT (PBE) results for crystalline KAl2Hg at its relaxed geometry.

a b c (Å): 3.171 4.174 7.950
angles (deg): 90.00 90.00 90.00
Sites, in units of the cell vectors:
K (0.500, 0.500, 0.750)
Hg (0.500, 0.500, 0.250)
Al (0.000, 0.000, 0.072)
Al (0.000, 0.000, 0.428)

The crystal system is orthorhombic. The space group is Pmmm (47). The calculation puts the formation energy at 0.198 eV/atom.

[5]
DFT (PBE) results for crystalline LaCu2Pb at its relaxed geometry.

a b c (Å): 4.791 4.791 9.718
angles (deg): 75.73 75.73 90.00
Sites, in units of the cell vectors:
Pb (0.000, 0.000, 0.000)
Pb (0.750, 0.250, 0.500)
Cu (0.808, 0.125, 0.250)
Cu (0.942, 0.625, 0.250)
Cu (0.375, 0.192, 0.750)
Cu (0.875, 0.058, 0.750)
La (0.500, 0.500, 0.000)
La (0.250, 0.750, 0.500)

The crystal system is tetragonal. The space group is I-42d (122). The calculation puts the formation energy at 0.060 eV/atom.

[6]
DFT (PBE) results for crystalline VInSI2 at its relaxed geometry.

a b c (Å): 6.467 4.381 6.467
angles (deg): 90.00 90.00 90.00
Sites, in units of the cell vectors:
I (0.000, 0.000, 0.500)
I (0.500, 0.000, 0.000)
S (0.000, 0.000, 0.000)
V (0.000, 0.500, 0.000)
In (0.500, 0.500, 0.500)

The calculation puts the uncorrected formation energy at 0.173 eV/atom. The crystal system is tetragonal. The space group is P4/mmm (123).

[7]
DFT (PBE) results for crystalline Mo2As at its relaxed geometry.

a b c (Å): 4.363 4.363 3.073
angles (deg): 90.00 90.00 120.00
Sites, in units of the cell vectors:
Mo (0.333, 0.667, 0.500)
Mo (0.667, 0.333, 0.500)
As (0.000, 0.000, 0.000)

The crystal system is hexagonal. The space group is P6/mmm (191). The calculation puts the formation energy at 0.603 eV/atom.

[8]
DFT (PBE) results for crystalline Mg3PtI at its relaxed geometry.

a b c (Å): 5.145 5.145 5.145
angles (deg): 90.00 90.00 90.00
Sites, in units of the cell vectors:
I (0.500, 0.500, 0.500)
Mg (0.000, 0.500, 0.000)
Mg (0.000, 0.000, 0.500)
Mg (0.500, 0.000, 0.000)
Pt (0.000, 0.000, 0.000)

The calculation puts the uncorrected formation energy at -0.401 eV/atom. The crystal system is cubic. The space group is Pm-3m (221).

[9]
DFT (PBE) results for crystalline Hf3Zr8Al at its relaxed geometry.

a b c (Å): 7.410 7.410 7.410
angles (deg): 95.87 116.67 116.67
Sites, in units of the cell vectors:
Hf (0.500, 0.750, 0.250)
Hf (0.500, 0.250, 0.750)
Hf (0.000, 0.500, 0.500)
Zr (0.490, 0.249, 0.249)
Zr (0.510, 0.759, 0.759)
Zr (0.000, 0.751, 0.241)
Zr (0.000, 0.241, 0.751)
Zr (0.276, 0.387, 0.387)
Zr (0.724, 0.110, 0.110)
Zr (0.000, 0.613, 0.890)
Zr (0.000, 0.890, 0.613)
Al (0.000, 0.000, 0.000)

The crystal system is tetragonal. The space group is I-42m (121). The calculation puts the formation energy at 0.664 eV/atom.

no.,spin magnetization (μB/f.u.),E (eV per atom)
1,0.00,-5.8149
2,0.00,-8.4421
3,0.00,-6.1715
4,0.00,-2.0227
5,0.00,-4.1468
6,2.28,-3.6435
7,0.00,-8.1673
8,0.00,-2.8755
9,0.00,-7.8347